Compound: Ba2BrNF
Source: the Alexandria database
Functional: GGA-PBE
Structure: relaxed

Results
The value obtained for the formation energy without anion corrections is -1061 meV per atom. The value obtained for the density of states at the Fermi level is 2.28 states/eV per cell. The total magnetic moment comes out at 0.3 μB/f.u.

a = 5.3819 Å, b = 5.3819 Å, c = 4.6913 Å
α = 90.00°, β = 90.00°, γ = 90.00°
Sites, in units of the cell vectors:
Ba  0.0000  0.5000  0.0000
Ba  0.5000  0.0000  0.0000
Br  0.0000  0.0000  0.5000
N  0.5000  0.5000  0.0000
F  0.5000  0.5000  0.5000